Model w:
The following is a DFT calculation (GGA-PBE) of a geometry-optimized KScTcSe3 structure.

The magnetic moment is 0.0 μB per formula unit. As for the calculated density: 4.668 Mg/m³.

Unit cell a=7.8203 b=7.8203 c=10.0606 alpha=90.00 beta=90.00 gamma=151.02
Fractional positions:
Se  0.1196  0.8804  0.5583
Se  0.1196  0.8804  0.9417
Se  0.8804  0.1196  0.4417
Se  0.4229  0.5771  0.7500
Se  0.8804  0.1196  0.0583
Se  0.5771  0.4229  0.2500
Sc  0.5000  0.5000  0.0000
Sc  0.5000  0.5000  0.5000
Tc  0.9816  0.0184  0.2500
Tc  0.0184  0.9816  0.7500
K  0.2543  0.7457  0.2500
K  0.7457  0.2543  0.7500

Model x:
The following is a DFT calculation (GGA-PBE) of a geometry-optimized KScTcSe3 structure.

The magnetic moment is 1.0 μB per formula unit. As for the calculated density: 4.680 Mg/m³.

Unit cell a=7.9568 b=7.9568 c=9.5897 alpha=90.00 beta=90.00 gamma=150.68
Fractional positions:
Se  0.0851  0.9149  0.2500
Se  0.6134  0.3866  0.5358
Se  0.3866  0.6134  0.0358
Se  0.3866  0.6134  0.4642
Se  0.9149  0.0851  0.7500
Se  0.6134  0.3866  0.9642
Sc  0.5152  0.4848  0.7500
Sc  0.4848  0.5152  0.2500
Tc  0.0000  0.0000  0.5000
Tc  0.0000  0.0000  0.0000
K  0.7599  0.2401  0.2500
K  0.2401  0.7599  0.7500

Verdict on stability: model x comes out at the bottom.